# Cu2Os

Crystalline Cu2Os at its relaxed geometry (PBE, Alexandria via LeMat-Bulk).

a b c (Å): 2.531 3.806 8.069
angles (deg): 90.00 90.00 90.00
Space group Immm (No. 71)
One atom of each set of equivalent atoms:
Cu: 0.000 0.000 0.168 x4
Os: 0.000 0.000 0.500 x2

Values from the calculation:
* D(E_F): 7.0 states/eV/cell
* energy of formation from the pure elements: 0.440 eV per atom
* energy relative to the lowest polymorph listed for this composition: 0.231 eV per atom
* electronic total energy: -36.21 eV/cell



# CuOs3

Crystalline CuOs3 at its relaxed geometry (PBE, Alexandria via LeMat-Bulk).

a b c (Å): 3.824 3.824 3.824
angles (deg): 90.00 90.00 90.00
Space group Pm-3m (No. 221)
One atom of each set of equivalent atoms:
Cu: 0.000 0.000 0.000 x1
Os: 0.000 0.500 0.500 x3

Values from the calculation:
* D(E_F): 5.3 states/eV/cell
* energy of formation from the pure elements: 0.545 eV per atom
* energy relative to the lowest polymorph listed for this composition: 0.390 eV per atom
* electronic total energy: -35.60 eV/cell



# CuOs2

Crystalline CuOs2 at its relaxed geometry (PBE, Alexandria via LeMat-Bulk).

a b c (Å): 9.649 2.779 6.366
angles (deg): 90.00 105.05 90.00
Space group C2/m (No. 12)
One atom of each set of equivalent atoms:
Cu: 0.021 0.000 0.307 x4
Os: 0.143 0.500 0.042 x4
Os: 0.200 0.500 0.637 x4

Values from the calculation:
* D(E_F): 7.3 states/eV/cell
* energy of formation from the pure elements: 0.253 eV per atom
* energy relative to the lowest polymorph listed for this composition: 0.037 eV per atom
* electronic total energy: -103.18 eV/cell



# Cu5Os

Crystalline Cu5Os at its relaxed geometry (PBE, Alexandria via LeMat-Bulk).

a b c (Å): 9.791 2.543 6.207
angles (deg): 90.00 104.85 90.00
Space group Cm (No. 8)
One atom of each set of equivalent atoms:
Cu: 0.000 0.000 0.000 x2
Cu: 0.056 0.000 0.611 x2
Cu: 0.165 0.500 0.336 x2
Cu: 0.336 0.000 0.661 x2
Cu: 0.392 0.000 0.286 x2
Os: 0.225 0.500 0.947 x2

Values from the calculation:
* D(E_F): 3.3 states/eV/cell
* energy of formation from the pure elements: 0.162 eV per atom
* energy relative to the lowest polymorph listed for this composition: 0.000 eV per atom
* electronic total energy: -61.48 eV/cell



# CuOs3

Crystalline CuOs3 at its relaxed geometry (PBE, Alexandria via LeMat-Bulk).

a b c (Å): 3.802 3.802 15.425
angles (deg): 90.00 90.00 90.00
Space group I4/mmm (No. 139)
One atom of each set of equivalent atoms:
Cu: 0.000 0.000 0.121 x4
Os: 0.000 0.000 0.373 x4
Os: 0.000 0.500 0.000 x4
Os: 0.000 0.500 0.250 x4

Values from the calculation:
* D(E_F): 19.1 states/eV/cell
* energy of formation from the pure elements: 0.468 eV per atom
* energy relative to the lowest polymorph listed for this composition: 0.312 eV per atom
* electronic total energy: -143.66 eV/cell



# CuOs3

Crystalline CuOs3 at its relaxed geometry (PBE, Alexandria via LeMat-Bulk).

a b c (Å): 2.758 8.691 4.660
angles (deg): 90.00 90.00 90.00
Space group Imm2 (No. 44)
One atom of each set of equivalent atoms:
Cu: 0.000 0.000 0.000 x2
Os: 0.000 0.244 0.653 x4
Os: 0.000 0.500 0.999 x2

Values from the calculation:
* D(E_F): 7.0 states/eV/cell
* energy of formation from the pure elements: 0.318 eV per atom
* energy relative to the lowest polymorph listed for this composition: 0.162 eV per atom
* electronic total energy: -73.03 eV/cell



# CuOs2

Crystalline CuOs2 at its relaxed geometry (PBE, Alexandria via LeMat-Bulk).

a b c (Å): 9.824 2.750 6.374
angles (deg): 90.00 105.40 90.00
Space group Cm (No. 8)
One atom of each set of equivalent atoms:
Cu: 0.000 0.000 0.000 x2
Cu: 0.156 0.500 0.328 x2
Os: 0.045 0.000 0.604 x2
Os: 0.225 0.500 0.935 x2
Os: 0.327 0.000 0.664 x2
Os: 0.376 0.000 0.273 x2

Values from the calculation:
* D(E_F): 12.0 states/eV/cell
* energy of formation from the pure elements: 0.334 eV per atom
* energy relative to the lowest polymorph listed for this composition: 0.118 eV per atom
* electronic total energy: -102.21 eV/cell



# Cu5Os

Crystalline Cu5Os at its relaxed geometry (PBE, Alexandria via LeMat-Bulk).

a b c (Å): 4.5001 4.5001 4.2736
angles (deg): 90.00 90.00 120.00
Space group P-62m (No. 189)
One atom of each set of equivalent atoms:
Cu: 0.0000 0.6701 0.0000 x3
Cu: 0.3333 0.6667 0.5000 x2
Os: 0.0000 0.0000 0.5000 x1

Values from the calculation:
* D(E_F): 4.9 states/eV/cell
* energy of formation from the pure elements: 0.256 eV per atom
* energy relative to the lowest polymorph listed for this composition: 0.095 eV per atom
* electronic total energy: -30.17 eV/cell